# 1
! PBE-GGA ErMg3Cu, optimized geometry; values from VASP
&SYSTEM
  ibrav = 0, nat = 10, ntyp = 3
/
ATOMIC_SPECIES
Er 167.26 Er.upf
Mg 24.30 Mg.upf
Cu 63.55 Cu.upf
ATOMIC_POSITIONS crystal
Er 0.2066 0.7934 0.0000
Er 0.7934 0.2066 0.0000
Mg 0.0000 0.0000 0.5000
Mg 0.1747 0.4351 0.5000
Mg 0.4351 0.1747 0.5000
Mg 0.5000 0.5000 0.0000
Mg 0.5649 0.8253 0.5000
Mg 0.8253 0.5649 0.5000
Cu 0.1858 0.1858 0.0000
Cu 0.8142 0.8142 0.0000
CELL_PARAMETERS angstrom
4.1539 -6.0618 0.0000
4.1539 6.0618 0.0000
0.0000 0.0000 4.3109
! space-group type: Cmmm
! D(E_F): 0.590 states/eV per atom
! calculated density: 4.6 g/cm³
! energy above the lowest structure with this stoichiometry: 0.0 meV/atom
! E_tot: -2.799 eV per atom
! energy of formation from the pure elements: -0.11 eV per atom



# 2
! PBE-GGA Er4MgCu, optimized geometry; values from VASP
&SYSTEM
  ibrav = 0, nat = 24, ntyp = 3
/
ATOMIC_SPECIES
Er 167.26 Er.upf
Mg 24.30 Mg.upf
Cu 63.55 Cu.upf
ATOMIC_POSITIONS crystal
Er 0.1841 0.1841 0.8159
Er 0.1841 0.8159 0.1841
Er 0.1841 0.8159 0.8159
Er 0.4003 0.4003 0.4003
Er 0.4003 0.4003 0.7991
Er 0.4003 0.7991 0.4003
Er 0.5624 0.5624 0.9376
Er 0.5624 0.9376 0.5624
Er 0.5624 0.9376 0.9376
Er 0.7991 0.4003 0.4003
Er 0.8159 0.1841 0.1841
Er 0.8159 0.1841 0.8159
Er 0.8159 0.8159 0.1841
Er 0.9376 0.5624 0.5624
Er 0.9376 0.5624 0.9376
Er 0.9376 0.9376 0.5624
Mg 0.1702 0.1702 0.1702
Mg 0.1702 0.1702 0.4895
Mg 0.1702 0.4895 0.1702
Mg 0.4895 0.1702 0.1702
Cu 0.1798 0.6067 0.6067
Cu 0.6067 0.1798 0.6067
Cu 0.6067 0.6067 0.1798
Cu 0.6067 0.6067 0.6067
CELL_PARAMETERS angstrom
0.0000 6.8120 6.8120
6.8120 0.0000 6.8120
6.8120 6.8120 0.0000
! space-group type: F-43m
! D(E_F): 1.439 states/eV per atom
! calculated density: 8.0 g/cm³
! energy above the lowest structure with this stoichiometry: 0.0 meV/atom
! E_tot: -4.102 eV per atom
! energy of formation from the pure elements: -0.11 eV per atom



# 3
! PBE-GGA Er4MgCu, optimized geometry; values from VASP
&SYSTEM
  ibrav = 0, nat = 6, ntyp = 3
/
ATOMIC_SPECIES
Er 167.26 Er.upf
Mg 24.30 Mg.upf
Cu 63.55 Cu.upf
ATOMIC_POSITIONS crystal
Er 0.0000 0.5000 0.2155
Er 0.0000 0.5000 0.7845
Er 0.5000 0.0000 0.2155
Er 0.5000 0.0000 0.7845
Mg 0.0000 0.0000 0.5000
Cu 0.5000 0.5000 0.0000
CELL_PARAMETERS angstrom
4.8352 0.0000 0.0000
0.0000 4.8352 0.0000
0.0000 0.0000 7.5605
! space-group type: P4/mmm
! D(E_F): 1.004 states/eV per atom
! calculated density: 7.1 g/cm³
! energy above the lowest structure with this stoichiometry: 329.1 meV/atom
! E_tot: -3.773 eV per atom
! energy of formation from the pure elements: 0.22 eV per atom



# 4
! PBE-GGA Er3MgCu8, optimized geometry; values from VASP
&SYSTEM
  ibrav = 0, nat = 12, ntyp = 3
/
ATOMIC_SPECIES
Er 167.26 Er.upf
Mg 24.30 Mg.upf
Cu 63.55 Cu.upf
ATOMIC_POSITIONS crystal
Er 0.0000 0.0000 0.0000
Er 0.1260 0.1260 0.1260
Er 0.6164 0.6164 0.6164
Mg 0.4930 0.4930 0.4930
Cu 0.0558 0.0558 0.5637
Cu 0.0558 0.5637 0.0558
Cu 0.0602 0.5591 0.5591
Cu 0.3082 0.3082 0.3082
Cu 0.5591 0.0602 0.5591
Cu 0.5591 0.5591 0.0602
Cu 0.5637 0.0558 0.0558
Cu 0.8097 0.8097 0.8097
CELL_PARAMETERS angstrom
2.5841 1.4919 8.4035
-2.5841 1.4919 8.4035
0.0000 -2.9838 8.4035
! space-group type: R3m
! D(E_F): 0.627 states/eV per atom
! calculated density: 8.8 g/cm³
! E_tot: -4.220 eV per atom
! energy of formation from the pure elements: -0.22 eV per atom



# 5
! PBE-GGA ErMg3Cu, optimized geometry; values from VASP
&SYSTEM
  ibrav = 0, nat = 5, ntyp = 3
/
ATOMIC_SPECIES
Er 167.26 Er.upf
Mg 24.30 Mg.upf
Cu 63.55 Cu.upf
ATOMIC_POSITIONS crystal
Er 0.0000 0.0000 0.0000
Mg 0.0000 0.5000 0.5000
Mg 0.5000 0.0000 0.5000
Mg 0.5000 0.5000 0.0000
Cu 0.5000 0.5000 0.5000
CELL_PARAMETERS angstrom
4.8797 0.0000 0.0000
0.0000 4.8797 0.0000
0.0000 0.0000 4.8797
! space-group type: Pm-3m
! D(E_F): 0.672 states/eV per atom
! calculated density: 4.3 g/cm³
! energy above the lowest structure with this stoichiometry: 194.3 meV/atom
! E_tot: -2.605 eV per atom
! energy of formation from the pure elements: 0.08 eV per atom



# 6
! PBE-GGA NdErMgCu, optimized geometry; values from VASP
&SYSTEM
  ibrav = 0, nat = 4, ntyp = 4
/
ATOMIC_SPECIES
Nd 144.24 Nd.upf
Er 167.26 Er.upf
Mg 24.30 Mg.upf
Cu 63.55 Cu.upf
ATOMIC_POSITIONS crystal
Nd 0.0000 0.0000 0.0000
Er 0.5000 0.5000 0.5000
Mg 0.7500 0.7500 0.7500
Cu 0.2500 0.2500 0.2500
CELL_PARAMETERS angstrom
0.0000 3.6711 3.6711
3.6711 0.0000 3.6711
3.6711 3.6711 0.0000
! space-group type: F-43m
! D(E_F): 1.081 states/eV per atom
! calculated density: 6.7 g/cm³
! E_tot: -3.803 eV per atom
! energy of formation from the pure elements: -0.05 eV per atom



What did the first record say?
! PBE-GGA ErMg3Cu, optimized geometry; values from VASP
&SYSTEM
  ibrav = 0, nat = 10, ntyp = 3
/
ATOMIC_SPECIES
Er 167.26 Er.upf
Mg 24.30 Mg.upf
Cu 63.55 Cu.upf
ATOMIC_POSITIONS crystal
Er 0.2066 0.7934 0.0000
Er 0.7934 0.2066 0.0000
Mg 0.0000 0.0000 0.5000
Mg 0.1747 0.4351 0.5000
Mg 0.4351 0.1747 0.5000
Mg 0.5000 0.5000 0.0000
Mg 0.5649 0.8253 0.5000
Mg 0.8253 0.5649 0.5000
Cu 0.1858 0.1858 0.0000
Cu 0.8142 0.8142 0.0000
CELL_PARAMETERS angstrom
4.1539 -6.0618 0.0000
4.1539 6.0618 0.0000
0.0000 0.0000 4.3109
! space-group type: Cmmm
! D(E_F): 0.590 states/eV per atom
! calculated density: 4.6 g/cm³
! energy above the lowest structure with this stoichiometry: 0.0 meV/atom
! E_tot: -2.799 eV per atom
! energy of formation from the pure elements: -0.11 eV per atom



Look up the calculated density of the third one.
7.1 g/cm³